No. 1
Cu5GePt6 | PBE | optimized geometry

The energy of formation comes out at -0.240 eV per atom. The value obtained for the mass density is 15.354 g/cm³. The energy is -5.352 eV per atom. The total magnetic moment is 0.0000 μB/atom.

The structure belongs to space group Cmmm (No. 65); the cell edges are 4.012, 11.993 and 7.017 Å and the angles 90.00°, 90.00° and 90.00°. The asymmetric unit holds Cu at (0.000, 0.000, 0.000), Cu at (0.000, 0.325, 0.500), Cu at (0.000, 0.335, 0.000), Ge at (0.000, 0.000, 0.500), Pt at (0.000, 0.165, 0.248) and Pt at (0.000, 0.500, 0.261).

=====

No. 2
Gd2GeI | PBE | optimized geometry

The value obtained for the mass density is 7.209 g/cm³. The energy is -9.566 eV per atom. The total magnetic moment is 3.5281 μB/atom.

The structure belongs to space group R-3m (No. 166, hexagonal axes); the cell edges are 4.2975, 4.2975 and 22.2081 Å and the angles 90.00°, 90.00° and 120.00°. The asymmetric unit holds Gd at (0.0000, 0.0000, 0.2329), Ge at (0.0000, 0.0000, 0.5000) and I at (0.0000, 0.0000, 0.0000).

=====

No. 3
La3Tm6Th2 | PBE | optimized geometry

The energy of formation comes out at 0.215 eV per atom. The value obtained for the mass density is 8.460 g/cm³. The energy is -4.917 eV per atom. The total magnetic moment is 0.0001 μB/atom.

The structure belongs to space group C2/m (No. 12); the cell edges are 6.151, 10.665 and 11.525 Å and the angles 90.00°, 100.36° and 90.00°. The asymmetric unit holds La at (0.000, 0.000, 0.000), La at (0.000, 0.336, 0.000), Tm at (0.247, 0.334, 0.741), Tm at (0.248, 0.000, 0.742) and Th at (0.000, 0.166, 0.500).

=====

No. 4
ZrNiAs2S | PBE | optimized geometry

The value obtained for the mass density is 4.356 g/cm³. The energy is -4.571 eV per atom. The total magnetic moment is 0.0000 μB/atom.

The structure belongs to space group P4/mmm (No. 123); the cell edges are 5.150, 5.150 and 4.770 Å and the angles 90.00°, 90.00° and 90.00°. The asymmetric unit holds Zr at (0.000, 0.000, 0.000), Ni at (0.000, 0.000, 0.500), As at (0.000, 0.500, 0.000) and S at (0.500, 0.500, 0.500).

=====

No. 5
AcBiAu2 | PBE | optimized geometry

The energy of formation comes out at -0.521 eV per atom. The value obtained for the mass density is 12.724 g/cm³. The energy is -4.157 eV per atom. The total magnetic moment is 0.0000 μB/atom.

The structure belongs to space group P4/mmm (No. 123); the cell edges are 4.936, 4.936 and 4.445 Å and the angles 90.00°, 90.00° and 90.00°. The asymmetric unit holds Ac at (0.000, 0.000, 0.000), Bi at (0.500, 0.500, 0.000) and Au at (0.000, 0.500, 0.500).

=====

No. 6
LiTb2HoSe4 | PBE | optimized geometry

The value obtained for the mass density is 7.107 g/cm³. The energy is -5.457 eV per atom. The total magnetic moment is 0.0000 μB/atom.

The structure belongs to space group P2/m (No. 10); the cell edges are 7.018, 4.045 and 7.026 Å and the angles 90.00°, 109.30° and 90.00°. The asymmetric unit holds Li at (0.000, 0.000, 0.000), Tb at (0.000, 0.500, 0.500), Tb at (0.500, 0.000, 0.500), Ho at (0.500, 0.500, 0.000), Se at (0.243, 0.500, 0.241) and Se at (0.246, 0.000, 0.758).

=====

No. 7
Nd2Y5Ho5 | PBE | optimized geometry

The energy of formation comes out at 0.092 eV per atom. The value obtained for the mass density is 6.654 g/cm³. The energy is -5.304 eV per atom. The total magnetic moment is 0.0000 μB/atom.

The structure belongs to space group C2/m (No. 12); the cell edges are 11.732, 5.674 and 12.410 Å and the angles 90.00°, 109.76° and 90.00°. The asymmetric unit holds Nd at (0.083, 0.000, 0.204), Y at (0.000, 0.500, 0.000), Y at (0.072, 0.500, 0.742), Y at (0.192, 0.500, 0.529), Ho at (0.000, 0.000, 0.500), Ho at (0.190, 0.000, 0.976) and Ho at (0.246, 0.500, 0.273).

=====

No. 8
SiP2HBr | PBE | optimized geometry

The value obtained for the mass density is 3.399 g/cm³. The energy is -3.432 eV per atom. The total magnetic moment is 0.0000 μB/atom.

The structure belongs to space group P4/mmm (No. 123); the cell edges are 3.748, 3.748 and 5.947 Å and the angles 90.00°, 90.00° and 90.00°. The asymmetric unit holds Si at (0.000, 0.000, 0.000), P at (0.000, 0.500, 0.500), H at (0.500, 0.500, 0.500) and Br at (0.500, 0.500, 0.000).

=====

No. 9
Ac3IrPdPb | PBE | optimized geometry

The energy of formation comes out at -0.569 eV per atom. The value obtained for the mass density is 10.222 g/cm³. The energy is -5.584 eV per atom. The total magnetic moment is 0.0000 μB/atom.

The structure belongs to space group P2_1/m (No. 11); the cell edges are 9.262, 4.385 and 10.359 Å and the angles 90.00°, 113.57° and 90.00°. The asymmetric unit holds Ac at (0.155, 0.250, 0.137), Ac at (0.264, 0.750, 0.479), Ac at (0.278, 0.750, 0.863), Ir at (0.042, 0.250, 0.814), Pd at (0.009, 0.250, 0.411) and Pb at (0.486, 0.750, 0.255).

=====

No. 10
MgF2 | PBE | optimized geometry

The value obtained for the mass density is 3.234 g/cm³. The energy is -5.065 eV per atom. The total magnetic moment is 0.0000 μB/atom.

The structure belongs to space group Amm2 (No. 38); the cell edges are 3.233, 2.831 and 6.990 Å and the angles 90.00°, 90.00° and 90.00°. The asymmetric unit holds Mg at (0.000, 0.000, 0.000), F at (0.000, 0.000, 0.713) and F at (0.500, 0.000, 0.449).

=====

No. 11
Ca4CePa3N8 | PBE | optimized geometry

The value obtained for the mass density is 7.315 g/cm³. The energy is -8.252 eV per atom. The total magnetic moment is 0.0511 μB/atom.

The structure belongs to space group R-3m (No. 166, hexagonal axes); the cell edges are 7.1316, 7.1316 and 17.0938 Å and the angles 90.00°, 90.00° and 120.00°. The asymmetric unit holds Ca at (0.0000, 0.0000, 0.0000), Ca at (0.0000, 0.5000, 0.0000), Ce at (0.0000, 0.0000, 0.5000), Pa at (0.0000, 0.5000, 0.5000), N at (0.0000, 0.0000, 0.2383) and N at (0.0149, 0.5075, 0.7615).

=====

No. 12
SiPd3Pb | PBE | optimized geometry

The value obtained for the mass density is 7.212 g/cm³. The energy is -3.958 eV per atom. The total magnetic moment is 0.0000 μB/atom.

The structure belongs to space group Pm-3m (No. 221); the cell edges are 5.036, 5.036 and 5.036 Å and the angles 90.00°, 90.00° and 90.00°. The asymmetric unit holds Si at (0.000, 0.000, 0.000), Pd at (0.000, 0.500, 0.500) and Pb at (0.500, 0.500, 0.500).

=====

Question: Which value of total magnetic moment does entry 11 give?
Answer: 0.0511 μB/atom

=====

Question: Among the records above, which one has the highest total magnetic moment?
Answer: Gd2GeI